Entry from Alexandria via LeMat-Bulk: a relaxed Rb2InAuBr6 crystal (PBEsol).

Summary:
uncorrected energy = -3.011 eV/atom
energy relative to the elements, uncorrected = -993 meV/atom
space-group type = Fm-3m (225)
D(E_F) = 0.2158 states/eV/atom
calculated density = 5.0 g/cm³

Lattice parameters (Å, degrees): 7.6748 7.6748 7.6748 60.00 60.00 60.00
Positions (direct):
1 Rb 0.2500 0.2500 0.2500
2 Rb 0.7500 0.7500 0.7500
3 In 0.0000 0.0000 0.0000
4 Au 0.5000 0.5000 0.5000
5 Br 0.2497 0.2497 0.7503
6 Br 0.2497 0.7503 0.2497
7 Br 0.2497 0.7503 0.7503
8 Br 0.7503 0.2497 0.2497
9 Br 0.7503 0.2497 0.7503
10 Br 0.7503 0.7503 0.2497

Entry from Alexandria via LeMat-Bulk: a relaxed CoSeN2F crystal (PBEsol).

Summary:
uncorrected energy = -5.502 eV/atom
energy relative to the elements, uncorrected = 611 meV/atom
space-group type = P4/mmm (123)
D(E_F) = 0.6297 states/eV/atom
calculated density = 6.0 g/cm³

Lattice parameters (Å, degrees): 3.7189 3.7189 3.6796 90.00 90.00 90.00
Positions (direct):
1 Co 0.0000 0.0000 0.0000
2 Se 0.5000 0.5000 0.5000
3 N 0.0000 0.5000 0.0000
4 N 0.5000 0.0000 0.0000
5 F 0.0000 0.0000 0.5000